1.
Compound: Nd3Ni8Sn
Source: the Alexandria database
Functional: PBE
Structure: relaxed

abc: 8.8641 8.8641 8.8641
angles: 33.63 33.63 33.63
Element x y z (fractional)
Nd 0.0000 0.0000 0.0000
Nd 0.1274 0.1274 0.1274
Nd 0.5090 0.5090 0.5090
Ni 0.0637 0.5651 0.5651
Ni 0.0672 0.0672 0.5654
Ni 0.0672 0.5654 0.0672
Ni 0.3151 0.3151 0.3151
Ni 0.5651 0.0637 0.5651
Ni 0.5654 0.0672 0.0672
Ni 0.5651 0.5651 0.0637
Ni 0.8151 0.8151 0.8151
Sn 0.6333 0.6333 0.6333

## Properties
Energy relative to the elements (eV/atom): -0.312
DOS(E_F) (states/eV per cell): 10.517
ρ (kg/m³): 8907
Calculated total energy (eV/cell): -68.30

2.
Compound: ScZn2Pd2Au
Source: the Alexandria database
Functional: PBE
Structure: relaxed

abc: 4.4701 4.4701 5.6124
angles: 90.00 90.00 120.00
Element x y z (fractional)
Sc 0.0000 0.0000 0.0000
Zn 0.3333 0.6667 0.6753
Zn 0.6667 0.3333 0.3247
Pd 0.3333 0.6667 0.1745
Pd 0.6667 0.3333 0.8255
Au 0.0000 0.0000 0.5000

## Properties
Energy relative to the elements (eV/atom): -0.594
DOS(E_F) (states/eV per cell): 2.979
ρ (kg/m³): 10012
Calculated total energy (eV/cell): -26.10

3.
Compound: Pb2SeCl
Source: the Alexandria database
Functional: PBE
Structure: relaxed

abc: 6.8124 6.8124 6.8124
angles: 106.58 106.58 115.43
Element x y z (fractional)
Pb 0.1119 0.6250 0.9869
Pb 0.3750 0.3619 0.4869
Pb 0.6381 0.1250 0.0131
Pb 0.8750 0.8881 0.5131
Se 0.0000 0.0000 0.0000
Se 0.7500 0.2500 0.5000
Cl 0.2500 0.7500 0.5000
Cl 0.5000 0.5000 0.0000

## Properties
Raw formation energy (kJ/mol of atoms): -48.06
E above lowest polymorph (eV/f.u.): 0.34
DOS(E_F) (states/eV per cell): 4.819
ρ (kg/m³): 7276
Calculated total energy (eV/cell): -29.48

4.
Compound: TiFe4Sb2
Source: the Alexandria database
Functional: PBE
Structure: relaxed

abc: 7.3300 7.3300 7.3300
angles: 145.97 145.97 48.89
Element x y z (fractional)
Ti 0.0000 0.0000 0.0000
Fe 0.0000 0.5000 0.5000
Fe 0.1821 0.1821 0.0000
Fe 0.5000 0.0000 0.5000
Fe 0.8179 0.8179 0.0000
Sb 0.3729 0.3729 0.0000
Sb 0.6271 0.6271 0.0000

## Properties
Raw formation energy (kJ/mol of atoms): 65.86
DOS(E_F) (states/eV per cell): 5.673
ρ (kg/m³): 6961
Calculated total energy (eV/cell): -45.21

Please write out number 1 again, unchanged.
Compound: Nd3Ni8Sn
Source: the Alexandria database
Functional: PBE
Structure: relaxed

abc: 8.8641 8.8641 8.8641
angles: 33.63 33.63 33.63
Element x y z (fractional)
Nd 0.0000 0.0000 0.0000
Nd 0.1274 0.1274 0.1274
Nd 0.5090 0.5090 0.5090
Ni 0.0637 0.5651 0.5651
Ni 0.0672 0.0672 0.5654
Ni 0.0672 0.5654 0.0672
Ni 0.3151 0.3151 0.3151
Ni 0.5651 0.0637 0.5651
Ni 0.5654 0.0672 0.0672
Ni 0.5651 0.5651 0.0637
Ni 0.8151 0.8151 0.8151
Sn 0.6333 0.6333 0.6333

## Properties
Energy relative to the elements (eV/atom): -0.312
DOS(E_F) (states/eV per cell): 10.517
ρ (kg/m³): 8907
Calculated total energy (eV/cell): -68.30